1.
{"formula": "Zr4ScCo5", "functional": "PBE", "state": "relaxed", "lattice": [[3.186, 0.000, 0.000], [0.000, 3.186, 0.000], [0.000, 0.000, 15.928]], "species": ["Zr", "Zr", "Zr", "Zr", "Sc", "Co", "Co", "Co", "Co", "Co"], "fractional_positions": [[0.000, 0.000, 0.101], [0.000, 0.000, 0.303], [0.000, 0.000, 0.697], [0.000, 0.000, 0.899], [0.000, 0.000, 0.500], [0.500, 0.500, 0.000], [0.500, 0.500, 0.202], [0.500, 0.500, 0.399], [0.500, 0.500, 0.601], [0.500, 0.500, 0.798]], "formation_energy_ev_per_atom": -0.298, "magmom_total_mub_per_fu": 3.47, "dft_energy_ev_per_atom": -7.904, "crystal_system": "tetragonal"}

2.
{"formula": "BaZn3Pd", "functional": "PBE", "state": "relaxed", "lattice": [[5.992, 0.000, 0.000], [0.000, 5.992, 0.000], [0.000, 0.000, 5.992]], "species": ["Ba", "Zn", "Zn", "Zn", "Pd"], "fractional_positions": [[0.000, 0.000, 0.000], [0.000, 0.000, 0.500], [0.000, 0.500, 0.000], [0.500, 0.000, 0.000], [0.500, 0.500, 0.500]], "formation_energy_ev_per_atom": 1.167, "magmom_total_mub_per_fu": 0.00, "dft_energy_ev_per_atom": -1.021, "crystal_system": "cubic"}

3.
{"formula": "LiSbF4", "functional": "PBE", "state": "relaxed", "lattice": [[5.022, 0.000, 0.000], [0.000, 4.974, 0.000], [-1.496, 0.000, 15.078]], "species": ["Li", "Li", "Li", "Li", "Sb", "Sb", "Sb", "Sb", "F", "F", "F", "F", "F", "F", "F", "F", "F", "F", "F", "F", "F", "F", "F", "F"], "fractional_positions": [[0.250, 0.195, 0.182], [0.250, 0.305, 0.682], [0.750, 0.695, 0.318], [0.750, 0.805, 0.818], [0.280, 0.204, 0.408], [0.280, 0.296, 0.908], [0.720, 0.704, 0.092], [0.720, 0.796, 0.592], [0.053, 0.046, 0.607], [0.053, 0.067, 0.826], [0.053, 0.433, 0.326], [0.053, 0.454, 0.107], [0.412, 0.052, 0.300], [0.412, 0.448, 0.800], [0.456, 0.028, 0.098], [0.456, 0.472, 0.598], [0.544, 0.528, 0.402], [0.544, 0.972, 0.902], [0.588, 0.552, 0.200], [0.588, 0.948, 0.700], [0.947, 0.546, 0.893], [0.947, 0.567, 0.674], [0.947, 0.933, 0.174], [0.947, 0.954, 0.393]], "magmom_total_mub_per_fu": 0.00, "dft_energy_ev_per_atom": -4.785, "crystal_system": "monoclinic"}

4.
{"formula": "LaAuS2", "functional": "PBE", "state": "relaxed", "lattice": [[4.727, 0.000, 0.000], [0.000, 4.727, 0.000], [0.000, 0.000, 3.688]], "species": ["La", "Au", "S", "S"], "fractional_positions": [[0.000, 0.000, 0.000], [0.500, 0.500, 0.000], [0.000, 0.500, 0.500], [0.500, 0.000, 0.500]], "magmom_total_mub_per_fu": 0.00, "dft_energy_ev_per_atom": -5.157, "crystal_system": "tetragonal"}

5.
{"formula": "PrSi2Rh2", "functional": "PBE", "state": "relaxed", "lattice": [[-2.059, 2.059, 5.122], [2.059, -2.059, 5.122], [2.059, 2.059, -5.122]], "species": ["Pr", "Si", "Si", "Rh", "Rh"], "fractional_positions": [[0.000, 0.000, 0.000], [0.375, 0.375, 0.000], [0.625, 0.625, 0.000], [0.250, 0.750, 0.500], [0.750, 0.250, 0.500]], "magmom_total_mub_per_fu": 0.00, "dft_energy_ev_per_atom": -7.141, "crystal_system": "tetragonal"}

6.
{"formula": "Zr2SnRu", "functional": "PBE", "state": "relaxed", "lattice": [[3.168, 0.000, 0.000], [0.000, 3.168, 0.000], [0.000, 0.000, 8.096]], "species": ["Zr", "Zr", "Sn", "Ru"], "fractional_positions": [[0.000, 0.000, 0.210], [0.000, 0.000, 0.790], [0.500, 0.500, 0.500], [0.500, 0.500, 0.000]], "formation_energy_ev_per_atom": -0.459, "magmom_total_mub_per_fu": 0.00, "dft_energy_ev_per_atom": -8.052, "crystal_system": "tetragonal"}

7.
{"formula": "LiTbLuIn", "functional": "PBE", "state": "relaxed", "lattice": [[0.000, 3.698, 3.698], [3.698, 0.000, 3.698], [3.698, 3.698, 0.000]], "species": ["Li", "Tb", "Lu", "In"], "fractional_positions": [[0.000, 0.000, 0.000], [0.750, 0.750, 0.750], [0.250, 0.250, 0.250], [0.500, 0.500, 0.500]], "formation_energy_ev_per_atom": -0.252, "magmom_total_mub_per_fu": 0.00, "dft_energy_ev_per_atom": -3.703, "crystal_system": "cubic"}

8.
{"formula": "Pm3Tm3Hg2", "functional": "PBE", "state": "relaxed", "lattice": [[2.576, -5.852, 0.000], [2.576, 5.852, 0.000], [0.000, 0.000, 15.947]], "species": ["Pm", "Pm", "Pm", "Pm", "Pm", "Pm", "Tm", "Tm", "Tm", "Tm", "Tm", "Tm", "Hg", "Hg", "Hg", "Hg"], "fractional_positions": [[0.040, 0.960, 0.607], [0.040, 0.960, 0.893], [0.284, 0.716, 0.750], [0.716, 0.284, 0.250], [0.960, 0.040, 0.107], [0.960, 0.040, 0.393], [0.358, 0.642, 0.536], [0.358, 0.642, 0.964], [0.428, 0.572, 0.250], [0.572, 0.428, 0.750], [0.642, 0.358, 0.036], [0.642, 0.358, 0.464], [0.234, 0.766, 0.124], [0.234, 0.766, 0.376], [0.766, 0.234, 0.624], [0.766, 0.234, 0.876]], "formation_energy_ev_per_atom": -0.184, "magmom_total_mub_per_fu": 0.00, "dft_energy_ev_per_atom": -3.717, "crystal_system": "orthorhombic"}

9.
{"formula": "PaZnRuO6", "functional": "PBE", "state": "relaxed", "lattice": [[4.872, 0.000, 0.000], [0.000, 4.872, 0.000], [0.000, 0.000, 9.664]], "species": ["Pa", "Pa", "Zn", "Zn", "Ru", "Ru", "O", "O", "O", "O", "O", "O", "O", "O", "O", "O", "O", "O"], "fractional_positions": [[0.000, 0.000, 0.000], [0.500, 0.500, 0.500], [0.000, 0.000, 0.670], [0.500, 0.500, 0.170], [0.000, 0.000, 0.334], [0.500, 0.500, 0.834], [0.185, 0.185, 0.493], [0.190, 0.190, 0.183], [0.212, 0.212, 0.834], [0.288, 0.712, 0.334], [0.310, 0.690, 0.683], [0.315, 0.685, 0.993], [0.685, 0.315, 0.993], [0.690, 0.310, 0.683], [0.712, 0.288, 0.334], [0.788, 0.788, 0.834], [0.810, 0.810, 0.183], [0.815, 0.815, 0.493]], "magmom_total_mub_per_fu": 3.02, "dft_energy_ev_per_atom": -7.506, "crystal_system": "tetragonal"}

10.
{"formula": "TeWS2", "functional": "PBE", "state": "relaxed", "lattice": [[-3.262, 3.262, 4.775], [3.262, -3.262, 4.775], [3.262, 3.262, -4.775]], "species": ["Te", "Te", "W", "W", "S", "S", "S", "S"], "fractional_positions": [[0.000, 0.000, 0.000], [0.750, 0.250, 0.500], [0.250, 0.750, 0.500], [0.500, 0.500, 0.000], [0.218, 0.625, 0.093], [0.375, 0.468, 0.593], [0.532, 0.125, 0.907], [0.875, 0.782, 0.407]], "magmom_total_mub_per_fu": 0.00, "dft_energy_ev_per_atom": -5.761, "crystal_system": "tetragonal"}

11.
{"formula": "Ba3ZrAu2Se6", "functional": "PBE", "state": "relaxed", "lattice": [[7.886, 0.000, 0.000], [-3.943, 6.829, 0.000], [0.000, 0.000, 8.220]], "species": ["Ba", "Ba", "Ba", "Zr", "Au", "Au", "Se", "Se", "Se", "Se", "Se", "Se"], "fractional_positions": [[0.000, 0.000, 0.000], [0.333, 0.667, 0.612], [0.667, 0.333, 0.388], [0.000, 0.000, 0.500], [0.333, 0.667, 0.214], [0.667, 0.333, 0.786], [0.155, 0.311, 0.299], [0.155, 0.845, 0.299], [0.311, 0.155, 0.701], [0.689, 0.845, 0.299], [0.845, 0.155, 0.701], [0.845, 0.689, 0.701]], "magmom_total_mub_per_fu": 0.00, "dft_energy_ev_per_atom": -4.559, "crystal_system": "trigonal"}

12.
{"formula": "ReNiP", "functional": "PBE", "state": "relaxed", "lattice": [[5.199, -1.421, 0.000], [5.199, 1.421, 0.000], [-2.568, 0.000, 5.347]], "species": ["Re", "Re", "Ni", "Ni", "P", "P"], "fractional_positions": [[0.140, 0.140, 0.042], [0.860, 0.860, 0.958], [0.438, 0.438, 0.653], [0.562, 0.562, 0.347], [0.170, 0.170, 0.675], [0.830, 0.830, 0.325]], "formation_energy_ev_per_atom": -0.121, "magmom_total_mub_per_fu": 0.00, "dft_energy_ev_per_atom": -8.000, "crystal_system": "monoclinic"}

13.
{"formula": "CeTlC", "functional": "PBE", "state": "relaxed", "lattice": [[3.677, -1.814, 0.000], [3.677, 1.814, 0.000], [-2.400, 0.000, 10.413]], "species": ["Ce", "Ce", "Tl", "Tl", "C", "C"], "fractional_positions": [[0.093, 0.093, 0.366], [0.907, 0.907, 0.634], [0.304, 0.304, 0.889], [0.696, 0.696, 0.111], [0.410, 0.410, 0.463], [0.590, 0.590, 0.537]], "formation_energy_ev_per_atom": -0.214, "magmom_total_mub_per_fu": 0.00, "dft_energy_ev_per_atom": -6.055, "crystal_system": "monoclinic"}

14.
{"formula": "Ni2RhAu", "functional": "PBE", "state": "relaxed", "lattice": [[4.312, -1.377, 0.000], [4.312, 1.377, 0.000], [-0.860, 0.000, 4.671]], "species": ["Ni", "Ni", "Rh", "Au"], "fractional_positions": [[0.246, 0.246, 0.227], [0.754, 0.754, 0.773], [0.500, 0.500, 0.000], [0.000, 0.000, 0.500]], "formation_energy_ev_per_atom": 0.150, "magmom_total_mub_per_fu": 2.27, "dft_energy_ev_per_atom": -5.398, "crystal_system": "monoclinic"}

15.
{"formula": "BeRh3", "functional": "PBE", "state": "relaxed", "lattice": [[4.143, 2.392, 0.900], [-4.143, 2.392, 0.900], [0.000, -4.783, 0.900]], "species": ["Be", "Rh", "Rh", "Rh"], "fractional_positions": [[0.000, 0.000, 0.000], [0.000, 0.500, 0.500], [0.500, 0.000, 0.500], [0.500, 0.500, 0.000]], "formation_energy_ev_per_atom": 0.091, "magmom_total_mub_per_fu": 0.00, "dft_energy_ev_per_atom": -6.354, "crystal_system": "trigonal"}

16.
{"formula": "SmHoMgRu", "functional": "PBE", "state": "relaxed", "lattice": [[3.427, 0.000, 0.000], [0.000, 3.427, 0.000], [0.000, 0.000, 8.483]], "species": ["Sm", "Ho", "Mg", "Ru"], "fractional_positions": [[0.000, 0.000, 0.000], [0.000, 0.000, 0.605], [0.500, 0.500, 0.309], [0.500, 0.500, 0.795]], "formation_energy_ev_per_atom": -0.248, "magmom_total_mub_per_fu": 0.00, "dft_energy_ev_per_atom": -5.290, "crystal_system": "tetragonal"}

17.
{"formula": "CdPPb3", "functional": "PBE", "state": "relaxed", "lattice": [[5.499, 0.000, 0.000], [0.000, 5.499, 0.000], [0.000, 0.000, 5.499]], "species": ["Cd", "P", "Pb", "Pb", "Pb"], "fractional_positions": [[0.000, 0.000, 0.000], [0.500, 0.500, 0.500], [0.000, 0.500, 0.500], [0.500, 0.000, 0.500], [0.500, 0.500, 0.000]], "formation_energy_ev_per_atom": 0.401, "magmom_total_mub_per_fu": 0.00, "dft_energy_ev_per_atom": -3.089, "crystal_system": "cubic"}

18.
{"formula": "Li8Cd6Au", "functional": "PBE", "state": "relaxed", "lattice": [[4.064, 2.346, 5.043], [-4.064, 2.346, 5.043], [0.000, -4.692, 5.043]], "species": ["Li", "Li", "Li", "Li", "Li", "Li", "Li", "Li", "Cd", "Cd", "Cd", "Cd", "Cd", "Cd", "Au"], "fractional_positions": [[0.137, 0.451, 0.637], [0.246, 0.246, 0.246], [0.363, 0.863, 0.549], [0.451, 0.637, 0.137], [0.549, 0.363, 0.863], [0.637, 0.137, 0.451], [0.754, 0.754, 0.754], [0.863, 0.549, 0.363], [0.048, 0.880, 0.329], [0.120, 0.671, 0.952], [0.329, 0.048, 0.880], [0.671, 0.952, 0.120], [0.880, 0.329, 0.048], [0.952, 0.120, 0.671], [0.500, 0.500, 0.500]], "formation_energy_ev_per_atom": -0.201, "magmom_total_mub_per_fu": 0.00, "dft_energy_ev_per_atom": -1.806, "crystal_system": "trigonal"}

19.
{"formula": "Te2SBrN", "functional": "PBE", "state": "relaxed", "lattice": [[5.768, 0.000, 0.000], [0.000, 5.768, 0.000], [0.000, 0.000, 3.684]], "species": ["Te", "Te", "S", "Br", "N"], "fractional_positions": [[0.000, 0.500, 0.000], [0.500, 0.000, 0.000], [0.000, 0.000, 0.500], [0.500, 0.500, 0.000], [0.500, 0.500, 0.500]], "magmom_total_mub_per_fu": 0.00, "dft_energy_ev_per_atom": -2.459, "crystal_system": "tetragonal"}

20.
{"formula": "Pm9Nd2Dy", "functional": "PBE", "state": "relaxed", "lattice": [[5.154, 0.000, 0.000], [0.000, 5.154, 0.000], [0.000, 0.000, 15.454]], "species": ["Pm", "Pm", "Pm", "Pm", "Pm", "Pm", "Pm", "Pm", "Pm", "Nd", "Nd", "Dy"], "fractional_positions": [[0.000, 0.000, 0.000], [0.000, 0.000, 0.332], [0.000, 0.000, 0.668], [0.000, 0.500, 0.165], [0.000, 0.500, 0.500], [0.000, 0.500, 0.835], [0.500, 0.000, 0.165], [0.500, 0.000, 0.500], [0.500, 0.000, 0.835], [0.500, 0.500, 0.332], [0.500, 0.500, 0.668], [0.500, 0.500, 0.000]], "formation_energy_ev_per_atom": 0.016, "magmom_total_mub_per_fu": 0.00, "dft_energy_ev_per_atom": -4.725, "crystal_system": "tetragonal"}